{"formula": "Mg2InTc", "functional": "PBE-GGA", "state": "optimized geometry", "final_energy_ev_per_cell": -15.6, "spacegroup": "Pmmm, No. 47", "formation_enthalpy_0k_ev_per_fu": 0.7, "cell": [[-0.685, 1.413, 2.459], [-1.101, -3.768, 1.859], [5.520, -0.666, 1.921]], "species": ["In", "Mg", "Mg", "Tc"], "fractional_positions": [[0.500, 0.500, 0.750], [0.000, 0.000, 0.023], [0.000, 0.000, 0.477], [0.500, 0.500, 0.250]]}